First-principles (PBE-GGA) data for a geometry-optimized SrBe2Cd structure, as listed in OQMD via LeMat-Bulk.

```
SrBe2Cd
1.0
4.569 -0.631 1.409
1.209 0.650 4.624
1.177 -3.790 2.741
Be Cd Sr
2 1 1
Direct
0.250 0.250 0.250
0.500 0.500 0.500
0.750 0.750 0.750
0.000 0.000 0.000
```

Computed properties:
Symmetry: F-43m (216)
Electronic total energy, eV per cell: -7.8